# 1
The following is a DFT calculation (PBE) of La2Tb12Sc after structural relaxation.

The structure in POSCAR format:
```
La2Tb12Sc
1.0
3.564 -5.698 0.000
3.564 5.698 0.000
-3.277 0.000 24.133
La Tb Sc
4 24 2
direct
0.229 0.229 0.233
0.267 0.267 0.769
0.733 0.733 0.231
0.771 0.771 0.767
0.036 0.036 0.375
0.085 0.085 0.924
0.094 0.594 0.434
0.103 0.595 0.944
0.204 0.700 0.172
0.227 0.725 0.695
0.275 0.773 0.305
0.300 0.796 0.828
0.404 0.404 0.071
0.405 0.897 0.056
0.406 0.906 0.566
0.464 0.464 0.624
0.536 0.536 0.376
0.594 0.094 0.434
0.595 0.103 0.944
0.596 0.596 0.929
0.700 0.204 0.172
0.725 0.227 0.695
0.773 0.275 0.305
0.796 0.300 0.828
0.897 0.405 0.056
0.906 0.406 0.566
0.915 0.915 0.076
0.964 0.964 0.625
0.249 0.249 0.500
0.751 0.751 0.500
```

Summary:
ΔH_f (0 K)	176	kJ/mol of formula units
magnetic moment	0.00	μB/f.u.



# 2
The following is a DFT calculation (PBE) of LaTb7Sc4 after structural relaxation.

The structure in POSCAR format:
```
LaTb7Sc4
1.0
6.066 0.000 0.000
-0.002 7.005 0.000
-2.035 -0.005 8.380
La Tb Sc
1 7 4
direct
0.000 0.000 0.000
0.000 0.500 0.000
0.225 0.001 0.662
0.285 0.742 0.341
0.498 0.257 0.005
0.502 0.743 0.995
0.715 0.258 0.659
0.775 0.999 0.338
0.215 0.500 0.660
0.274 0.258 0.338
0.726 0.742 0.662
0.785 0.500 0.340
```

Summary:
ΔH_f (0 K)	31	kJ/mol of formula units
magnetic moment	0.00	μB/f.u.



# 3
The following is a DFT calculation (PBE) of La4TbSc after structural relaxation.

The structure in POSCAR format:
```
La4TbSc
1.0
2.973 1.717 6.649
-2.973 1.717 6.649
0.000 -3.433 6.649
La Tb Sc
4 1 1
direct
0.161 0.161 0.161
0.328 0.328 0.328
0.672 0.672 0.672
0.839 0.839 0.839
0.500 0.500 0.500
0.000 0.000 0.000
```

Summary:
distance to the lowest polymorph of the same formula	236	meV per atom
ΔH_f (0 K)	198	kJ/mol of formula units
magnetic moment	0.00	μB/f.u.



# 4
The following is a DFT calculation (PBE) of LaTb2Sc after structural relaxation.

The structure in POSCAR format:
```
LaTb2Sc
1.0
3.540 0.000 0.000
-1.770 3.066 0.000
0.000 0.000 34.427
La Tb Sc
3 6 3
direct
0.000 0.000 0.000
0.333 0.667 0.667
0.667 0.333 0.333
0.000 0.000 0.245
0.000 0.000 0.755
0.333 0.667 0.422
0.333 0.667 0.912
0.667 0.333 0.088
0.667 0.333 0.578
0.000 0.000 0.500
0.333 0.667 0.167
0.667 0.333 0.833
```

Summary:
distance to the lowest polymorph of the same formula	16	meV per atom
ΔH_f (0 K)	20	kJ/mol of formula units
magnetic moment	0.00	μB/f.u.



# 5
The following is a DFT calculation (PBE) of La2TbSc after structural relaxation.

The structure in POSCAR format:
```
La2TbSc
1.0
3.706 0.000 0.000
0.000 3.706 0.000
0.000 0.000 9.449
La Tb Sc
2 1 1
direct
0.000 0.000 0.237
0.000 0.000 0.763
0.500 0.500 0.500
0.500 0.500 0.000
```

Summary:
distance to the lowest polymorph of the same formula	0	meV per atom
ΔH_f (0 K)	16	kJ/mol of formula units
magnetic moment	0.00	μB/f.u.



# 6
The following is a DFT calculation (PBE) of La2TbSc after structural relaxation.

The structure in POSCAR format:
```
La2TbSc
1.0
3.600 0.000 0.000
-1.800 3.118 0.000
0.000 0.000 34.216
La Tb Sc
6 3 3
direct
0.000 0.000 0.247
0.000 0.000 0.753
0.333 0.667 0.420
0.333 0.667 0.913
0.667 0.333 0.087
0.667 0.333 0.580
0.000 0.000 0.000
0.333 0.667 0.667
0.667 0.333 0.333
0.000 0.000 0.500
0.333 0.667 0.167
0.667 0.333 0.833
```

Summary:
distance to the lowest polymorph of the same formula	6	meV per atom
ΔH_f (0 K)	18	kJ/mol of formula units
magnetic moment	0.00	μB/f.u.



# 7
The following is a DFT calculation (PBE) of LaTb2Sc after structural relaxation.

The structure in POSCAR format:
```
LaTb2Sc
1.0
7.128 0.000 0.000
0.000 4.967 0.000
0.000 0.000 7.001
La Tb Sc
2 4 2
direct
0.250 0.000 0.001
0.750 0.000 0.999
0.000 0.500 0.261
0.000 0.500 0.739
0.500 0.500 0.261
0.500 0.500 0.739
0.250 0.000 0.500
0.750 0.000 0.500
```

Summary:
distance to the lowest polymorph of the same formula	14	meV per atom
ΔH_f (0 K)	19	kJ/mol of formula units
magnetic moment	0.00	μB/f.u.



# 8
The following is a DFT calculation (PBE) of LaTbThSc after structural relaxation.

The structure in POSCAR format:
```
LaTbThSc
1.0
7.940 0.000 0.000
0.000 7.940 0.000
0.000 0.000 7.940
La Tb Th Sc
4 4 4 4
direct
0.000 0.000 0.000
0.000 0.500 0.500
0.500 0.000 0.500
0.500 0.500 0.000
0.250 0.250 0.750
0.250 0.750 0.250
0.750 0.250 0.250
0.750 0.750 0.750
0.000 0.000 0.500
0.000 0.500 0.000
0.500 0.000 0.000
0.500 0.500 0.500
0.250 0.250 0.250
0.250 0.750 0.750
0.750 0.250 0.750
0.750 0.750 0.250
```

Summary:
distance to the lowest polymorph of the same formula	83	meV per atom
ΔH_f (0 K)	41	kJ/mol of formula units
magnetic moment	0.00	μB/f.u.



# 9
The following is a DFT calculation (PBE) of LaTb2ThSc4 after structural relaxation.

The structure in POSCAR format:
```
LaTb2ThSc4
1.0
5.066 0.000 0.000
0.000 5.066 0.000
0.000 0.000 8.928
La Tb Th Sc
1 2 1 4
direct
0.000 0.000 0.000
0.000 0.000 0.500
0.500 0.500 0.000
0.500 0.500 0.500
0.000 0.500 0.255
0.000 0.500 0.745
0.500 0.000 0.255
0.500 0.000 0.745
```

Summary:
ΔH_f (0 K)	36	kJ/mol of formula units
magnetic moment	0.00	μB/f.u.



# 10
The following is a DFT calculation (PBE) of LaTbThSc after structural relaxation.

The structure in POSCAR format:
```
LaTbThSc
1.0
3.592 0.000 0.000
0.000 3.592 0.000
0.000 0.000 9.701
La Tb Th Sc
1 1 1 1
direct
0.000 0.000 0.000
0.500 0.500 0.725
0.000 0.000 0.476
0.500 0.500 0.249
```

Summary:
distance to the lowest polymorph of the same formula	0	meV per atom
ΔH_f (0 K)	9	kJ/mol of formula units
magnetic moment	0.00	μB/f.u.



# 11
The following is a DFT calculation (PBE) of LaTb2ThSc after structural relaxation.

The structure in POSCAR format:
```
LaTb2ThSc
1.0
7.862 0.000 0.000
0.000 5.056 0.000
-0.066 0.000 7.909
La Tb Th Sc
2 4 2 2
direct
0.248 0.250 0.245
0.752 0.750 0.755
0.159 0.750 0.945
0.345 0.750 0.547
0.655 0.250 0.453
0.841 0.250 0.055
0.055 0.250 0.649
0.945 0.750 0.351
0.448 0.250 0.848
0.552 0.750 0.152
```

Summary:
ΔH_f (0 K)	30	kJ/mol of formula units
magnetic moment	0.00	μB/f.u.



# 12
The following is a DFT calculation (PBE) of LaTbScTl after structural relaxation.

The structure in POSCAR format:
```
LaTbScTl
1.0
7.758 0.000 0.000
0.000 7.758 0.000
0.000 0.000 7.758
La Tb Sc Tl
4 4 4 4
direct
0.000 0.000 0.000
0.000 0.500 0.500
0.500 0.000 0.500
0.500 0.500 0.000
0.000 0.000 0.500
0.000 0.500 0.000
0.500 0.000 0.000
0.500 0.500 0.500
0.250 0.250 0.250
0.250 0.750 0.750
0.750 0.250 0.750
0.750 0.750 0.250
0.250 0.250 0.750
0.250 0.750 0.250
0.750 0.250 0.250
0.750 0.750 0.750
```

Summary:
ΔH_f (0 K)	-33	kJ/mol of formula units
magnetic moment	1.28	μB/f.u.



# 13
The following is a DFT calculation (PBE) of La2TbScTl2 after structural relaxation.

The structure in POSCAR format:
```
La2TbScTl2
1.0
5.000 0.000 0.000
0.000 10.059 0.000
0.000 0.000 7.049
La Tb Sc Tl
4 2 2 4
direct
0.000 0.064 0.000
0.000 0.936 0.500
0.500 0.175 0.235
0.500 0.825 0.735
0.500 0.457 0.887
0.500 0.543 0.387
0.000 0.306 0.584
0.000 0.694 0.084
0.000 0.397 0.158
0.000 0.603 0.658
0.500 0.160 0.709
0.500 0.840 0.209
```

Summary:
ΔH_f (0 K)	-159	kJ/mol of formula units
magnetic moment	0.00	μB/f.u.



# 14
The following is a DFT calculation (PBE) of La3Tb6Tm2Sc after structural relaxation.

The structure in POSCAR format:
```
La3Tb6Tm2Sc
1.0
3.093 -5.362 0.000
3.093 5.362 0.000
-2.071 0.000 11.649
La Tb Tm Sc
3 6 2 1
direct
0.000 0.000 0.000
0.333 0.667 0.000
0.667 0.333 0.000
0.090 0.421 0.260
0.249 0.249 0.741
0.421 0.090 0.260
0.579 0.910 0.740
0.751 0.751 0.259
0.910 0.579 0.740
0.166 0.834 0.500
0.834 0.166 0.500
0.500 0.500 0.500
```

Summary:
ΔH_f (0 K)	42	kJ/mol of formula units
magnetic moment	0.00	μB/f.u.



# 15
The following is a DFT calculation (PBE) of La4Tb2TmSc after structural relaxation.

The structure in POSCAR format:
```
La4Tb2TmSc
1.0
5.198 0.000 0.000
0.000 5.214 0.000
0.000 0.000 9.767
La Tb Tm Sc
4 2 1 1
direct
0.000 0.000 0.246
0.000 0.000 0.754
0.500 0.500 0.246
0.500 0.500 0.754
0.000 0.500 0.000
0.500 0.000 0.500
0.000 0.500 0.500
0.500 0.000 0.000
```

Summary:
ΔH_f (0 K)	26	kJ/mol of formula units
magnetic moment	0.00	μB/f.u.



# 16
The following is a DFT calculation (PBE) of La6Tb2TmSc after structural relaxation.

The structure in POSCAR format:
```
La6Tb2TmSc
1.0
5.799 -3.535 0.000
5.799 3.535 0.000
-2.311 0.000 8.490
La Tb Tm Sc
6 2 1 1
direct
0.096 0.588 0.207
0.134 0.134 0.400
0.412 0.904 0.793
0.588 0.096 0.207
0.866 0.866 0.600
0.904 0.412 0.793
0.403 0.403 0.830
0.597 0.597 0.170
0.500 0.500 0.500
0.000 0.000 0.000
```

Summary:
ΔH_f (0 K)	206	kJ/mol of formula units
magnetic moment	0.00	μB/f.u.



# 17
The following is a DFT calculation (PBE) of LaTbTmSc after structural relaxation.

The structure in POSCAR format:
```
LaTbTmSc
1.0
12.104 0.000 0.000
0.000 5.663 0.000
-1.203 0.000 3.625
La Tb Tm Sc
2 2 2 2
direct
0.000 0.000 0.000
0.500 0.500 0.000
0.229 0.500 0.224
0.729 0.000 0.224
0.266 0.000 0.762
0.766 0.500 0.762
0.495 0.000 0.492
0.995 0.500 0.492
```

Summary:
ΔH_f (0 K)	34	kJ/mol of formula units
magnetic moment	0.00	μB/f.u.



# 18
The following is a DFT calculation (PBE) of La2Tb6Tm3Sc after structural relaxation.

The structure in POSCAR format:
```
La2Tb6Tm3Sc
1.0
3.071 -5.321 0.000
3.071 5.321 0.000
-2.048 0.000 11.600
La Tb Tm Sc
2 6 3 1
direct
0.166 0.834 0.000
0.834 0.166 0.000
0.086 0.416 0.746
0.255 0.255 0.254
0.416 0.086 0.746
0.584 0.914 0.254
0.745 0.745 0.746
0.914 0.584 0.254
0.000 0.000 0.500
0.334 0.666 0.500
0.666 0.334 0.500
0.500 0.500 0.000
```

Summary:
ΔH_f (0 K)	37	kJ/mol of formula units
magnetic moment	0.00	μB/f.u.



# 19
The following is a DFT calculation (PBE) of La2Tb5TmSc after structural relaxation.

The structure in POSCAR format:
```
La2Tb5TmSc
1.0
2.787 -10.098 0.000
2.787 10.098 0.000
0.000 0.000 10.418
La Tb Tm Sc
4 10 2 2
direct
0.114 0.886 0.500
0.116 0.884 0.923
0.884 0.116 0.423
0.886 0.114 0.000
0.015 0.985 0.202
0.274 0.726 0.507
0.296 0.704 0.887
0.372 0.628 0.206
0.485 0.515 0.929
0.515 0.485 0.429
0.628 0.372 0.706
0.704 0.296 0.387
0.726 0.274 0.007
0.985 0.015 0.702
0.405 0.595 0.651
0.595 0.405 0.151
0.196 0.804 0.201
0.804 0.196 0.701
```

Summary:
ΔH_f (0 K)	129	kJ/mol of formula units
magnetic moment	0.00	μB/f.u.



# 20
The following is a DFT calculation (PBE) of LaTbTm3Sc after structural relaxation.

The structure in POSCAR format:
```
LaTbTm3Sc
1.0
2.483 -7.421 0.000
2.483 7.421 0.000
0.000 0.000 9.968
La Tb Tm Sc
2 2 6 2
direct
0.002 0.998 0.750
0.998 0.002 0.250
0.500 0.500 0.000
0.500 0.500 0.500
0.169 0.831 0.001
0.169 0.831 0.499
0.328 0.672 0.750
0.672 0.328 0.250
0.831 0.169 0.501
0.831 0.169 0.999
0.330 0.670 0.250
0.670 0.330 0.750
```

Summary:
ΔH_f (0 K)	30	kJ/mol of formula units
magnetic moment	0.00	μB/f.u.